(1)
The following is a DFT calculation (PBE) of a relaxed structure of Mg2ScPt.

The calculation puts the spin magnetization at 0.000 μB per atom. For the formation energy, the calculation gives -0.441 eV per atom.

Lattice parameters (Å, degrees): 4.7371 3.0293 5.4240 78.42 90.00 90.00
With the nearest neighbours (Å) after each atom.
Fractional coordinates of all 4 atoms:
Mg 0.0000 0.4188 0.4805  2 Pt 2.77, 5 Mg 2.88-3.03, 2 Sc 3.06
Mg 0.0000 0.0812 0.0195  2 Pt 2.77, 5 Mg 2.88-3.03, 2 Sc 3.06
Pt 0.5000 0.2500 0.2500  4 Mg 2.77, 2 Sc 2.83, 2 Pt 3.03
Sc 0.5000 0.7500 0.7500  2 Pt 2.83, 2 Sc 3.03, 4 Mg 3.06

***

(2)
The following is a DFT calculation (PBE) of a relaxed structure of MgSc2Pt2.

The calculation puts the spin magnetization at 0.000 μB per atom. For the formation energy, the calculation gives -0.851 eV per atom.

Lattice parameters (Å, degrees): 4.3789 4.3789 6.4168 70.05 70.05 90.00
With the nearest neighbours (Å) after each atom.
Fractional coordinates of all 5 atoms:
Sc 0.7500 0.2500 0.5000  4 Pt 2.67
Sc 0.2500 0.7500 0.5000  4 Pt 2.67
Pt 0.3855 0.3855 0.2290  1 Pt 2.57, 4 Sc 2.67
Pt 0.6145 0.6145 0.7710  1 Pt 2.57, 4 Sc 2.67
Mg 0.0000 0.0000 0.0000  8 Pt 3.35, 8 Sc 3.56

***

(3)
The following is a DFT calculation (PBE) of a relaxed structure of MgScPt4.

The calculation puts the spin magnetization at 0.000 μB per atom. For the formation energy, the calculation gives -0.511 eV per atom.

Lattice parameters (Å, degrees): 4.2230 4.2235 6.2236 89.99 89.99 90.00
With the nearest neighbours (Å) after each atom.
Fractional coordinates of all 6 atoms:
Pt 0.0013 0.4973 0.2404  2 Mg 2.59, 2 Sc 2.65
Pt 0.0013 0.4973 0.7559  2 Mg 2.59-2.60, 2 Sc 2.65
Pt 0.5013 0.9973 0.7559  2 Mg 2.59-2.60, 2 Sc 2.65
Pt 0.5013 0.9973 0.2403  2 Mg 2.59, 2 Sc 2.65
Sc 0.0013 0.9973 0.4981  8 Pt 2.65
Mg 0.5013 0.4972 0.9982  8 Pt 2.59-2.60

***

(4)
The following is a DFT calculation (PBE) of a relaxed structure of Mg2ScPt.

The calculation puts the spin magnetization at 0.000 μB per atom. For the formation energy, the calculation gives -0.587 eV per atom.

Lattice parameters (Å, degrees): 4.0086 4.0086 4.6691 90.00 90.00 90.00
With the nearest neighbours (Å) after each atom.
Fractional coordinates of all 4 atoms:
Mg 0.5000 0.5000 0.0000  4 Mg 2.83, 4 Pt 3.08, 4 Sc 3.08
Mg 0.0000 0.0000 0.0000  4 Mg 2.83, 4 Sc 3.08, 4 Pt 3.08
Sc 0.0000 0.5000 0.5000  4 Pt 2.83, 8 Mg 3.08
Pt 0.5000 0.0000 0.5000  4 Sc 2.83, 8 Mg 3.08

***

(5)
The following is a DFT calculation (PBE) of a relaxed structure of Mg2ScPt.

The calculation puts the spin magnetization at 0.069 μB per atom. For the formation energy, the calculation gives -0.436 eV per atom.

Lattice parameters (Å, degrees): 3.2780 3.2814 7.3036 90.00 90.00 90.00
With the nearest neighbours (Å) after each atom.
Fractional coordinates of all 4 atoms:
Mg 0.0000 0.0000 0.0505  4 Pt 2.74, 1 Mg 2.91
Mg 0.0000 0.0000 0.4495  4 Pt 2.74, 1 Mg 2.91
Sc 0.5000 0.5000 0.7500  8 Mg 3.19, 4 Sc 3.28
Pt 0.5000 0.5000 0.2500  8 Mg 2.74

***

(6)
The following is a DFT calculation (PBE) of a relaxed structure of MgScPt3.

The energy relative to the lowest polymorph listed for this composition is 0 meV/atom. The calculation puts the spin magnetization at 0.000 μB per atom. For the formation energy, the calculation gives 0.067 eV per atom.

Lattice parameters (Å, degrees): 4.6032 4.6032 4.6032 90.00 90.00 90.00
With the nearest neighbours (Å) after each atom.
Fractional coordinates of all 5 atoms:
Sc 0.5000 0.5000 0.5000  12 Pt 3.25
Pt 0.0000 0.0000 0.5000  2 Mg 2.30
Pt 0.0000 0.5000 0.0000  2 Mg 2.30
Pt 0.5000 0.0000 0.0000  2 Mg 2.30
Mg 0.0000 0.0000 0.0000  6 Pt 2.30

***

(7)
The following is a DFT calculation (PBE) of a relaxed structure of Mg2ScPt.

The calculation puts the spin magnetization at 0.000 μB per atom. For the formation energy, the calculation gives -0.602 eV per atom.

Lattice parameters (Å, degrees): 3.3431 3.4117 7.7529 63.86 90.00 90.00
With the nearest neighbours (Å) after each atom.
Fractional coordinates of all 4 atoms:
Mg 0.0000 0.9912 0.0079  6 Mg 3.04-3.34, 4 Sc 3.18
Mg 0.5000 0.2204 0.2795  4 Pt 2.86, 1 Sc 2.97, 4 Mg 3.04-3.05
Pt 0.0000 0.4947 0.5058  4 Sc 2.77, 4 Mg 2.86
Sc 0.5000 0.7937 0.7067  4 Pt 2.77, 1 Mg 2.97

***

(8)
The following is a DFT calculation (PBE) of a relaxed structure of Mg2ScPt.

The calculation puts the spin magnetization at 0.000 μB per atom. For the formation energy, the calculation gives -0.304 eV per atom.

Lattice parameters (Å, degrees): 3.9886 3.9886 10.6796 79.24 79.24 90.00
With the nearest neighbours (Å) after each atom.
Fractional coordinates of all 8 atoms:
Mg 0.3750 0.3586 0.7500  4 Mg 2.73-2.91, 2 Pt 2.91, 2 Sc 2.96
Mg 0.8750 0.8914 0.7500  4 Mg 2.73-2.91, 2 Pt 2.91, 2 Sc 2.96
Mg 0.6414 0.1250 0.2500  4 Mg 2.73-2.91, 2 Pt 2.91, 2 Sc 2.96
Mg 0.1086 0.6250 0.2500  4 Mg 2.73-2.91, 2 Pt 2.91, 2 Sc 2.96
Sc 0.5000 0.5000 0.0000  4 Pt 2.82, 4 Mg 2.96
Sc 0.2500 0.7500 0.5000  4 Pt 2.82, 4 Mg 2.96
Pt 0.0000 0.0000 0.0000  4 Sc 2.82, 4 Mg 2.91
Pt 0.7500 0.2500 0.5000  4 Sc 2.82, 4 Mg 2.91

***

(9)
The following is a DFT calculation (PBE) of a relaxed structure of Mg2ScPt2.

The energy relative to the lowest polymorph listed for this composition is 38 meV/atom. The calculation puts the spin magnetization at 0.000 μB per atom. For the formation energy, the calculation gives -0.823 eV per atom.

Lattice parameters (Å, degrees): 7.0221 7.0221 3.7965 90.00 90.00 90.00
With the nearest neighbours (Å) after each atom.
Fractional coordinates of all 10 atoms:
Mg 0.8422 0.3422 0.5000  6 Pt 2.77-2.82
Mg 0.1578 0.6578 0.5000  6 Pt 2.77-2.82
Mg 0.6578 0.8422 0.5000  6 Pt 2.77-2.82
Mg 0.3422 0.1578 0.5000  6 Pt 2.77-2.82
Pt 0.3607 0.8607 0.0000  2 Sc 2.72, 1 Pt 2.77, 6 Mg 2.77-2.82
Pt 0.8607 0.6393 0.0000  2 Sc 2.72, 1 Pt 2.77, 6 Mg 2.77-2.82
Pt 0.6393 0.1393 0.0000  2 Sc 2.72, 1 Pt 2.77, 6 Mg 2.77-2.82
Pt 0.1393 0.3607 0.0000  2 Sc 2.72, 1 Pt 2.77, 6 Mg 2.77-2.82
Sc 0.5000 0.5000 0.0000  4 Pt 2.72
Sc 0.0000 0.0000 0.0000  4 Pt 2.72

***

(10)
The following is a DFT calculation (PBE) of a relaxed structure of Mg2ScPt.

The calculation puts the spin magnetization at 0.000 μB per atom. For the formation energy, the calculation gives -0.368 eV per atom.

Lattice parameters (Å, degrees): 5.7709 5.7709 2.9590 78.07 78.07 121.30
With the nearest neighbours (Å) after each atom.
Fractional coordinates of all 4 atoms:
Sc 0.0000 0.5000 0.5000  4 Pt 2.83-3.11, 4 Mg 2.96, 2 Sc 2.96
Pt 0.5000 0.0000 0.5000  4 Sc 2.83-3.11, 4 Mg 2.96, 2 Pt 2.96
Mg 0.5000 0.5000 0.0000  6 Mg 2.83-3.11, 2 Sc 2.96, 2 Pt 2.96
Mg 0.0000 0.0000 0.0000  6 Mg 2.83-3.11, 2 Pt 2.96, 2 Sc 2.96

***

(11)
The following is a DFT calculation (PBE) of a relaxed structure of Mg2ScPt2.

The energy relative to the lowest polymorph listed for this composition is 0 meV/atom. The calculation puts the spin magnetization at 0.000 μB per atom. For the formation energy, the calculation gives -0.861 eV per atom.

Lattice parameters (Å, degrees): 4.4939 4.5359 9.5901 89.95 90.00 90.00
With the nearest neighbours (Å) after each atom.
Fractional coordinates of all 10 atoms:
Sc 0.2500 0.7503 0.3294  6 Pt 2.75-2.82
Sc 0.7500 0.2497 0.6706  6 Pt 2.75-2.82
Pt 0.7500 0.7500 0.5070  4 Sc 2.76-2.82, 4 Mg 2.76-2.86
Pt 0.7500 0.7504 0.1646  6 Mg 2.72-2.79, 2 Sc 2.75
Pt 0.2500 0.2496 0.8354  6 Mg 2.72-2.79, 2 Sc 2.75
Pt 0.2500 0.2500 0.4930  4 Sc 2.76-2.82, 4 Mg 2.76-2.86
Mg 0.7500 0.2503 0.0074  4 Pt 2.72-2.79
Mg 0.2500 0.7496 0.6738  6 Pt 2.75-2.86, 1 Mg 3.06
Mg 0.7500 0.2504 0.3262  6 Pt 2.75-2.86, 1 Mg 3.06
Mg 0.2500 0.7497 0.9926  4 Pt 2.72-2.79

***

(12)
The following is a DFT calculation (PBE) of a relaxed structure of MgSc3Pt2.

The calculation puts the spin magnetization at 0.000 μB per atom. For the formation energy, the calculation gives -0.933 eV per atom.

Lattice parameters (Å, degrees): 4.4034 6.6967 8.2215 90.00 90.00 90.00
With the nearest neighbours (Å) after each atom.
Fractional coordinates of all 12 atoms:
Sc 0.0000 0.9797 0.0744  3 Pt 2.77-2.91
Sc 0.0000 0.4797 0.9256  3 Pt 2.77-2.91
Sc 0.5000 0.6514 0.1832  4 Pt 2.68-2.69
Sc 0.0000 0.3431 0.3255  4 Pt 2.71-2.77
Sc 0.5000 0.1514 0.8168  4 Pt 2.68-2.69
Sc 0.0000 0.8431 0.6745  4 Pt 2.71-2.77
Mg 0.5000 0.5250 0.5751  3 Pt 2.85-2.95, 2 Sc 3.17
Mg 0.5000 0.0250 0.4249  3 Pt 2.85-2.95, 2 Sc 3.17
Pt 0.0000 0.7467 0.3520  5 Sc 2.68-2.77, 2 Mg 2.95
Pt 0.5000 0.2541 0.1334  6 Sc 2.69-2.91, 1 Mg 2.85
Pt 0.0000 0.2467 0.6480  5 Sc 2.68-2.77, 2 Mg 2.95
Pt 0.5000 0.7541 0.8666  6 Sc 2.69-2.91, 1 Mg 2.85

***

(13)
The following is a DFT calculation (PBE) of a relaxed structure of Mg5ScPt6.

The calculation puts the spin magnetization at 0.000 μB per atom. For the formation energy, the calculation gives -0.948 eV per atom.

Lattice parameters (Å, degrees): 4.2792 7.0729 6.7600 90.00 71.73 90.00
With the nearest neighbours (Å) after each atom.
Fractional coordinates of all 12 atoms:
Pt 0.5000 0.7514 0.0000  6 Mg 2.77-2.80, 2 Sc 2.77, 4 Pt 3.03-3.04
Pt 0.5000 0.2486 0.0000  6 Mg 2.77-2.80, 2 Sc 2.77, 4 Pt 3.03-3.04
Pt 0.1674 0.2520 0.6656  7 Mg 2.75-2.79, 1 Sc 2.79, 4 Pt 3.01-3.04
Pt 0.8326 0.7480 0.3344  7 Mg 2.75-2.79, 1 Sc 2.79, 4 Pt 3.01-3.04
Pt 0.1674 0.7480 0.6656  7 Mg 2.75-2.79, 1 Sc 2.79, 4 Pt 3.01-3.04
Pt 0.8326 0.2520 0.3344  7 Mg 2.75-2.79, 1 Sc 2.79, 4 Pt 3.01-3.04
Mg 0.6655 0.5000 0.6695  8 Pt 2.77-2.78, 4 Mg 3.01-3.06
Mg 0.0000 0.5000 0.0000  8 Pt 2.77-2.78, 4 Mg 3.01-3.02
Mg 0.6701 0.0000 0.6602  8 Pt 2.75-2.80, 2 Mg 2.96-2.97, 2 Sc 3.05-3.06
Mg 0.3299 0.0000 0.3398  8 Pt 2.75-2.80, 2 Mg 2.96-2.97, 2 Sc 3.05-3.06
Mg 0.3345 0.5000 0.3305  8 Pt 2.77-2.78, 4 Mg 3.01-3.06
Sc 0.0000 0.0000 0.0000  8 Pt 2.77-2.79, 4 Mg 3.05-3.06